1.
A plane-wave DFT calculation with PBE was carried out for TlIn2Pt after structural relaxation.

Output
The calculation puts the energy above the most stable polymorph in this dataset at 127 meV/atom.

Cell lengths 3.7710, 3.7710, 25.0260 Å; angles 90.00, 90.00, 120.00 degrees
Space group R3m (No. 160, hexagonal axes)
Symmetry-distinct sites (fractional):
Tl (0.0000, 0.0000, 0.0000) x3
In (0.0000, 0.0000, 0.2324) x3
In (0.0000, 0.0000, 0.4696) x3
Pt (0.0000, 0.0000, 0.7391) x3

=====

2.
A plane-wave DFT calculation with PBE was carried out for TlIn2Pt2 after structural relaxation.

Output
The value obtained for the final energy is -42.00 eV for the cell shown.

Cell lengths 4.431, 4.431, 11.757 Å; angles 90.00, 90.00, 90.00 degrees
Space group I4/mmm (No. 139)
Symmetry-distinct sites (fractional):
Tl (0.000, 0.000, 0.000) x2
In (0.000, 0.500, 0.250) x4
Pt (0.000, 0.000, 0.387) x4

=====

3.
A plane-wave DFT calculation with PBE was carried out for TlIn2Pt after structural relaxation.

Output
The calculation puts the energy above the most stable polymorph in this dataset at 239 meV/atom.

Cell lengths 7.151, 7.151, 7.151 Å; angles 90.00, 90.00, 90.00 degrees
Space group F-43m (No. 216)
Symmetry-distinct sites (fractional):
Tl (0.000, 0.000, 0.000) x4
In (0.000, 0.000, 0.500) x4
In (0.250, 0.250, 0.250) x4
Pt (0.250, 0.250, 0.750) x4

=====

4.
A plane-wave DFT calculation with PBE was carried out for TlIn2Pt after structural relaxation.

Output
The calculation puts the energy above the most stable polymorph in this dataset at 208 meV/atom.

Cell lengths 7.146, 7.146, 7.146 Å; angles 90.00, 90.00, 90.00 degrees
Space group Fm-3m (No. 225)
Symmetry-distinct sites (fractional):
Tl (0.000, 0.000, 0.000) x4
In (0.250, 0.250, 0.250) x8
Pt (0.000, 0.000, 0.500) x4

=====

5.
A plane-wave DFT calculation with PBE was carried out for TlIn2Pt after structural relaxation.

Output
The calculation puts the energy above the most stable polymorph in this dataset at 3 meV/atom.

Cell lengths 7.024, 4.093, 7.822 Å; angles 90.00, 107.82, 90.00 degrees
Space group C2/m (No. 12)
Symmetry-distinct sites (fractional):
Tl (0.000, 0.000, 0.000) x2
In (0.228, 0.000, 0.686) x4
Pt (0.000, 0.500, 0.500) x2

=====

6.
A plane-wave DFT calculation with PBE was carried out for TlInPt3 after structural relaxation.

Output
The calculation puts the energy above the most stable polymorph in this dataset at 0 meV/atom.

Cell lengths 5.027, 5.027, 5.027 Å; angles 90.00, 90.00, 90.00 degrees
Space group Pm-3m (No. 221)
Symmetry-distinct sites (fractional):
Tl (0.000, 0.000, 0.000) x1
In (0.500, 0.500, 0.500) x1
Pt (0.000, 0.500, 0.500) x3

=====

7.
A plane-wave DFT calculation with PBE was carried out for TlIn2Pt after structural relaxation.

Output
The calculation puts the energy above the most stable polymorph in this dataset at 232 meV/atom.

Cell lengths 4.829, 4.829, 3.946 Å; angles 90.00, 90.00, 90.00 degrees
Space group P4/mmm (No. 123)
Symmetry-distinct sites (fractional):
Tl (0.000, 0.000, 0.000) x1
In (0.000, 0.500, 0.500) x2
Pt (0.500, 0.500, 0.000) x1

=====

8.
A plane-wave DFT calculation with PBE was carried out for TlIn2Pt after structural relaxation.

Output
The calculation puts the energy above the most stable polymorph in this dataset at 0 meV/atom.

Cell lengths 3.357, 3.357, 8.504 Å; angles 90.00, 90.00, 90.00 degrees
Space group P4/mmm (No. 123)
Symmetry-distinct sites (fractional):
Tl (0.000, 0.000, 0.000) x1
In (0.500, 0.500, 0.307) x2
Pt (0.000, 0.000, 0.500) x1

=====

| no. | D(E_F) (states/eV per atom) |
| --- | --- |
| 1 | 0.482 |
| 2 | 0.567 |
| 3 | 0.235 |
| 4 | 0.644 |
| 5 | 0.330 |
| 6 | 1.611 |
| 7 | 0.344 |
| 8 | 0.370 |